i | Density functional theory data (PBE-GGA) for crystalline NiTeBrN2 at its relaxed geometry.

Density (g cm⁻³): 4.308

Geometry as POSCAR:
```
NiTeBrN2
1.0
-3.323 1.489 -0.993
-1.710 -3.260 0.832
-1.118 2.495 7.478
Te N Ni Br
1 2 1 1
Direct
0.000 0.000 0.500
0.500 0.000 0.000
0.000 0.500 0.000
0.500 0.500 0.500
0.000 0.000 0.000
```

ii | Density functional theory data (PBE-GGA) for crystalline NiTeBrN2 at its relaxed geometry.

Density (g cm⁻³): 5.817

Geometry as POSCAR:
```
NiTeBrN2
1.0
3.909 0.000 0.000
0.000 3.909 0.000
0.000 0.000 5.497
Ni N Br Te
1 2 1 1
Direct
0.000 0.000 0.000
0.500 0.000 0.000
0.000 0.500 0.000
0.500 0.500 0.500
0.000 0.000 0.500
```

Energetically preferred structure: ii | next structure: +662 meV/atom